# GdPaCdIn

Crystalline GdPaCdIn at its relaxed geometry (GGA-PBE, the Alexandria database).

## Properties
Formation enthalpy at 0 K ... -4 meV per atom
Spin magnetization ... 8.93 μB per formula unit
Symmetry ... F-43m, No. 216

Geometry as POSCAR:
```
GdPaCdIn
1.0
0.000 3.780 3.780
3.780 0.000 3.780
3.780 3.780 0.000
Gd Pa Cd In
1 1 1 1
Direct
0.000 0.000 0.000
0.500 0.500 0.500
0.250 0.250 0.250
0.750 0.750 0.750
```